Computed, not measured: SnB2RuW after structural relaxation at the PBE level of DFT.

It has space group P4/mmm (No. 123), with a = 4.028 Å, b = 4.028 Å, c = 5.344 Å, α = 90.00°, β = 90.00° and γ = 90.00°. The inequivalent atoms are Sn at (0.000, 0.000, 0.000), B at (0.000, 0.500, 0.500), Ru at (0.000, 0.000, 0.500) and W at (0.500, 0.500, 0.000).

The final energy comes out at -32.2 eV for the cell shown. The formation energy from the elements is 1.487 eV/atom.